(one)
A relaxed Te3WO12 crystal. Source: the Alexandria database, functional PBEsol.

**V**: 191 Å³ per cell
**Size of the total moment**: 0.00 μB/atom
**Crystal system**: triclinic

Lattice parameters (Å, degrees): 5.0109 5.2507 7.2561 86.29 89.93 89.97
With the nearest neighbours (Å) after each atom.
Space group P-1 (No. 2)
Asymmetric unit:
Te  0.0000  0.0000  0.0000 [1 per cell]  6 O 1.93-1.94
Te  0.0000  0.0000  0.5000 [1 per cell]  6 O 1.91-1.94
Te  0.5000  0.5000  0.0000 [1 per cell]  6 O 1.91-1.94
W  0.5000  0.5000  0.5000 [1 per cell]  6 O 1.90-1.91
O  0.1363  0.9992  0.7502 [2 per cell]  2 Te 1.94
O  0.1827  0.6837  0.0692 [2 per cell]  2 Te 1.93-1.94
O  0.1910  0.3110  0.4431 [2 per cell]  1 W 1.90, 1 Te 1.91
O  0.3094  0.8088  0.4408 [2 per cell]  1 W 1.91, 1 Te 1.91
O  0.3171  0.1833  0.0695 [2 per cell]  2 Te 1.94
O  0.3816  0.4979  0.7497 [2 per cell]  1 W 1.91, 1 Te 1.91

***

(two)
A relaxed Te3WO12 crystal. Source: the Alexandria database, functional PBEsol.

**V**: 215 Å³ per cell
**Size of the total moment**: 0.00 μB/atom
**Crystal system**: monoclinic

Lattice parameters (Å, degrees): 4.9213 8.4243 5.1966 90.00 93.06 90.00
With the nearest neighbours (Å) after each atom.
Space group P2 (No. 3)
Asymmetric unit:
Te  0.0000  0.0000  0.0000 [1 per cell]  6 O 1.93-1.99
Te  0.0000  0.1806  0.5000 [1 per cell]  6 O 1.93-1.98
Te  0.5000  0.6885  0.0000 [1 per cell]  6 O 1.93-1.96
W  0.5000  0.5006  0.5000 [1 per cell]  6 O 1.88-1.96
O  0.2091  0.1668  0.8258 [2 per cell]  2 Te 1.94-1.99
O  0.2170  0.0201  0.3236 [2 per cell]  2 Te 1.95-1.98
O  0.2426  0.3452  0.3965 [2 per cell]  1 W 1.88, 1 Te 1.93
O  0.2460  0.8475  0.8620 [2 per cell]  2 Te 1.93-1.94
O  0.2899  0.5284  0.8026 [2 per cell]  1 W 1.94, 1 Te 1.96
O  0.2965  0.6643  0.3049 [2 per cell]  1 Te 1.93, 1 W 1.96

***

Stability ranking, top entry: (one); the second entry is 42 meV/atom less favorable.

***

(one)
A relaxed Ti2O crystal. Source: the Alexandria database, functional PBEsol.

**V**: 109 Å³ per cell
**Size of the total moment**: 0.00 μB/atom
**Crystal system**: monoclinic

Lattice parameters (Å, degrees): 4.5747 2.9252 8.1598 90.00 92.03 90.00
With the nearest neighbours (Å) after each atom.
Space group P2/m (No. 10)
Asymmetric unit:
Ti  0.2358  0.0000  0.0858 [2 per cell]  4 O 2.04
Ti  0.2461  0.0000  0.4279 [2 per cell]  2 O 2.01
Ti  0.2515  0.5000  0.7577 [2 per cell]  2 O 2.12-2.25
O  0.2110  0.5000  0.2589 [2 per cell]  5 Ti 2.01-2.12
O  0.5000  0.5000  0.0000 [1 per cell]  6 Ti 2.04-2.25

***

(two)
A relaxed Ti2O crystal. Source: the Alexandria database, functional PBEsol.

**V**: 36 Å³ per cell
**Size of the total moment**: 0.00 μB/atom
**Crystal system**: trigonal

Lattice parameters (Å, degrees): 2.9529 2.9529 4.7337 90.00 90.00 120.00
With the nearest neighbours (Å) after each atom.
Space group P-3m1 (No. 164)
Asymmetric unit:
Ti  0.3333  0.6667  0.2360 [2 per cell]  3 O 2.11
O  0.0000  0.0000  0.5000 [1 per cell]  6 Ti 2.11

***

Stability ranking, top entry: (two); the second entry is 46 meV/atom less favorable.

***

(one)
A relaxed TiZn2O4 crystal. Source: the Alexandria database, functional PBEsol.

**V**: 302 Å³ per cell
**Size of the total moment**: 0.00 μB/atom
**Crystal system**: orthorhombic

Lattice parameters (Å, degrees): 5.8792 5.9507 8.6304 90.00 90.00 90.00
With the nearest neighbours (Å) after each atom.
Space group Imma (No. 74)
Asymmetric unit:
Ti  0.0000  0.0000  0.0000 [4 per cell]  6 O 1.95-1.99
Zn  0.0000  0.2500  0.3613 [4 per cell]  4 O 1.96-1.99
Zn  0.2500  0.2500  0.7500 [4 per cell]  6 O 2.05-2.19
O  0.0000  0.0132  0.7744 [8 per cell]  1 Ti 1.95, 3 Zn 1.96-2.05
O  0.2247  0.2500  0.0037 [8 per cell]  2 Ti 1.99, 2 Zn 1.99-2.19

***

(two)
A relaxed TiZn2O4 crystal. Source: the Alexandria database, functional PBEsol.

**V**: 301 Å³ per cell
**Size of the total moment**: 0.00 μB/atom
**Crystal system**: tetragonal

Lattice parameters (Å, degrees): 5.9947 5.9947 8.3877 90.00 90.00 90.00
With the nearest neighbours (Å) after each atom.
Space group P4_122 (No. 91)
Asymmetric unit:
Ti  0.0000  0.2613  0.0000 [4 per cell]  6 O 1.91-2.04
Zn  0.2472  0.2472  0.3750 [4 per cell]  4 O 1.96-1.97
Zn  0.2556  0.5000  0.7500 [4 per cell]  6 O 2.06-2.16
O  0.0147  0.2341  0.7667 [8 per cell]  2 Ti 1.97-2.04, 2 Zn 1.97-2.16
O  0.2354  0.4756  0.0004 [8 per cell]  1 Ti 1.91, 3 Zn 1.96-2.11

***

Stability ranking, top entry: (two); the second entry is 16 meV/atom less favorable.

***

(one)
A relaxed Ti3Zn2O8 crystal. Source: the Alexandria database, functional PBEsol.

**V**: 282 Å³ per cell
**Size of the total moment**: 0.00 μB/atom
**Crystal system**: hexagonal

Lattice parameters (Å, degrees): 5.9060 5.9060 9.3442 90.00 90.00 120.00
With the nearest neighbours (Å) after each atom.
Space group P6_3mc (No. 186)
Asymmetric unit:
Ti  0.1624  0.3249  0.0000 [6 per cell]  6 O 1.91-2.03
Zn  0.3333  0.6667  0.3254 [2 per cell]  4 O 1.95-2.00
Zn  0.3333  0.6667  0.7140 [2 per cell]  6 O 2.05-2.16
O  0.0000  0.0000  0.3917 [2 per cell]  3 Ti 1.95
O  0.0355  0.5177  0.8773 [6 per cell]  2 Zn 1.95-2.16, 2 Ti 2.01
O  0.1625  0.3250  0.5998 [6 per cell]  2 Ti 1.91, 1 Zn 2.05
O  0.3333  0.6667  0.1111 [2 per cell]  1 Zn 2.00, 3 Ti 2.03

***

(two)
A relaxed Ti3Zn2O8 crystal. Source: the Alexandria database, functional PBEsol.

**V**: 288 Å³ per cell
**Size of the total moment**: 0.00 μB/atom
**Crystal system**: monoclinic

Lattice parameters (Å, degrees): 10.1921 5.9900 5.0682 90.00 111.66 90.00
With the nearest neighbours (Å) after each atom.
Space group C2/m (No. 12)
Asymmetric unit:
Ti  0.0000  0.0000  0.0000 [2 per cell]  6 O 1.94-1.99
Ti  0.0000  0.2657  0.5000 [4 per cell]  6 O 1.90-2.09
Zn  0.1842  0.5000  0.1545 [4 per cell]  4 O 1.95-2.01
O  0.1068  0.2316  0.2582 [8 per cell]  2 Ti 1.93-1.94, 1 Zn 1.95
O  0.1104  0.5000  0.7270 [4 per cell]  2 Ti 1.90, 1 Zn 2.01
O  0.1113  0.0000  0.7495 [4 per cell]  1 Zn 1.96, 3 Ti 1.99-2.09

***

(three)
A relaxed Ti3Zn2O8 crystal. Source: the Alexandria database, functional PBEsol.

**V**: 587 Å³ per cell
**Size of the total moment**: 0.00 μB/atom
**Crystal system**: cubic

Lattice parameters (Å, degrees): 8.3725 8.3725 8.3725 90.00 90.00 90.00
With the nearest neighbours (Å) after each atom.
Space group P4_332 (No. 212)
Asymmetric unit:
Ti  0.1134  0.3750  0.3634 [12 per cell]  6 O 1.86-2.06
Zn  0.0063  0.5063  0.9937 [8 per cell]  4 O 1.95-1.96
O  0.1070  0.8601  0.1087 [24 per cell]  2 Ti 1.86-1.98, 1 Zn 1.95
O  0.1086  0.3914  0.6086 [8 per cell]  1 Zn 1.96, 3 Ti 2.06

***

(four)
A relaxed Ti3Zn2O8 crystal. Source: the Alexandria database, functional PBEsol.

**V**: 433 Å³ per cell
**Size of the total moment**: 0.00 μB/atom
**Crystal system**: trigonal

Lattice parameters (Å, degrees): 5.9534 5.9534 14.1084 90.00 90.00 120.00
With the nearest neighbours (Å) after each atom.
Space group R-3m (No. 166, hexagonal axes)
Asymmetric unit:
Ti  0.0000  0.5000  0.0000 [9 per cell]  6 O 1.93-2.03
Zn  0.0000  0.0000  0.1148 [6 per cell]  4 O 1.94-2.00
O  0.0000  0.0000  0.2563 [6 per cell]  1 Zn 2.00, 3 Ti 2.03
O  0.0229  0.5114  0.2633 [18 per cell]  2 Ti 1.93, 1 Zn 1.94

***

Stability ranking, top entry: (three); the second entry is 38 meV/atom less favorable.